Compound: Li2MgAlH
Source: Alexandria
Functional: GGA-PBE
Structure: relaxed

abc: 4.069 4.069 4.390
angles: 90.00 90.00 90.00
Space group P4/mmm (No. 123)
Symmetry-distinct sites (fractional):
Li1 0.000 0.500 0.000 [2 per cell]
Mg1 0.000 0.000 0.500 [1 per cell]
Al1 0.500 0.500 0.500 [1 per cell]
H1 0.000 0.000 0.000 [1 per cell]

Computed properties:
Calculated volume = 14.533 Å³/atom
ρ = 1.512 Mg/m³
Total DFT energy (no corrections) = -2.6006 eV per atom
Total moment = 0.00 μB/cell



Compound: MgSi2Au
Source: Alexandria
Functional: GGA-PBE
Structure: relaxed

abc: 5.388 5.451 9.656
angles: 90.00 90.00 90.00
Space group Fmmm (No. 69)
Symmetry-distinct sites (fractional):
Mg1 0.000 0.000 0.000 [4 per cell]
Si1 0.250 0.000 0.250 [8 per cell]
Au1 0.000 0.000 0.500 [4 per cell]

Computed properties:
Calculated volume = 17.725 Å³/atom
ρ = 6.498 Mg/m³
Formation energy without anion corrections = 0.27 eV/f.u.
Total moment = 0.00 μB/cell



Compound: Cs3KNa3
Source: Alexandria
Functional: GGA-PBE
Structure: relaxed

abc: 11.491 11.491 11.491
angles: 90.00 90.00 90.00
Space group Pm-3n (No. 223)
Symmetry-distinct sites (fractional):
Cs1 0.000 0.250 0.500 [6 per cell]
K1 0.000 0.000 0.000 [2 per cell]
Na1 0.000 0.500 0.250 [6 per cell]

Computed properties:
Calculated volume = 108.365 Å³/atom
ρ = 1.109 Mg/m³
Total DFT energy (no corrections) = -0.8343 eV per atom
Total moment = 0.00 μB/cell



Compound: KSn2HRh
Source: Alexandria
Functional: GGA-PBE
Structure: relaxed

abc: 4.602 4.602 4.563
angles: 90.00 90.00 90.00
Space group P4/mmm (No. 123)
Symmetry-distinct sites (fractional):
K1 0.000 0.000 0.000 [1 per cell]
Sn1 0.000 0.500 0.500 [2 per cell]
H1 0.000 0.000 0.500 [1 per cell]
Rh1 0.500 0.500 0.000 [1 per cell]

Computed properties:
Calculated volume = 19.328 Å³/atom
ρ = 6.537 Mg/m³
Total DFT energy (no corrections) = -3.6205 eV per atom
Total moment = 0.00 μB/cell



Compound: B2C
Source: Alexandria
Functional: GGA-PBE
Structure: relaxed

abc: 4.925 2.660 6.229
angles: 90.00 90.29 90.00
Space group Pm (No. 6)
Symmetry-distinct sites (fractional):
B1 0.000 0.000 0.000 [1 per cell]
B2 0.025 0.000 0.289 [1 per cell]
B3 0.080 0.500 0.794 [1 per cell]
B4 0.188 0.500 0.086 [1 per cell]
B5 0.316 0.000 0.678 [1 per cell]
B6 0.404 0.500 0.338 [1 per cell]
B7 0.571 0.500 0.101 [1 per cell]
B8 0.779 0.500 0.393 [1 per cell]
C1 0.287 0.000 0.433 [1 per cell]
C2 0.631 0.000 0.746 [1 per cell]
C3 0.679 0.000 0.986 [1 per cell]
C4 0.773 0.500 0.656 [1 per cell]

Computed properties:
Calculated volume = 6.799 Å³/atom
ρ = 2.738 Mg/m³
Total DFT energy (no corrections) = -7.1305 eV per atom
Total moment = 0.00 μB/cell



Compound: HoEr2Mg
Source: Alexandria
Functional: GGA-PBE
Structure: relaxed

abc: 3.3864 3.3864 36.4646
angles: 90.00 90.00 120.00
Space group R-3m (No. 166, hexagonal axes)
Symmetry-distinct sites (fractional):
Ho1 0.0000 0.0000 0.0000 [3 per cell]
Er1 0.0000 0.0000 0.0930 [6 per cell]
Mg1 0.0000 0.0000 0.5000 [3 per cell]

Computed properties:
Calculated volume = 30.179 Å³/atom
ρ = 7.205 Mg/m³
Total DFT energy (no corrections) = -3.5798 eV per atom
Total moment = 2.51 μB/cell



Compound: KBa2Ni3H12
Source: Alexandria
Functional: GGA-PBE
Structure: relaxed

abc: 6.4013 6.4013 16.2063
angles: 90.00 90.00 120.00
Space group R-3m (No. 166, hexagonal axes)
Symmetry-distinct sites (fractional):
K1 0.0000 0.0000 0.0000 [3 per cell]
Ba1 0.0000 0.0000 0.3927 [6 per cell]
Ni1 0.0000 0.5000 0.5000 [9 per cell]
H1 0.0495 0.5247 0.4053 [18 per cell]
H2 0.0856 0.5428 0.8223 [18 per cell]

Computed properties:
Calculated volume = 10.650 Å³/atom
ρ = 4.348 Mg/m³
Total DFT energy (no corrections) = -3.6815 eV per atom
Total moment = 0.00 μB/cell



Compound: PaFeC2
Source: Alexandria
Functional: GGA-PBE
Structure: relaxed

abc: 3.663 3.663 14.626
angles: 90.00 90.00 90.00
Space group P4_1 (No. 76)
Symmetry-distinct sites (fractional):
Pa1 0.109 0.118 0.000 [4 per cell]
Fe1 0.377 0.405 0.596 [4 per cell]
C1 0.121 0.620 0.137 [4 per cell]
C2 0.364 0.620 0.214 [4 per cell]

Computed properties:
Calculated volume = 12.264 Å³/atom
ρ = 10.524 Mg/m³
Total DFT energy (no corrections) = -9.3537 eV per atom
Total moment = 0.00 μB/cell



Compound: SmZnNi3
Source: Alexandria
Functional: GGA-PBE
Structure: relaxed

abc: 4.972 6.759 9.227
angles: 90.00 90.00 90.00
Space group Imma (No. 74)
Symmetry-distinct sites (fractional):
Sm1 0.000 0.000 0.000 [4 per cell]
Zn1 0.000 0.250 0.472 [4 per cell]
Ni1 0.000 0.064 0.696 [8 per cell]
Ni2 0.250 0.250 0.250 [4 per cell]

Computed properties:
Calculated volume = 15.505 Å³/atom
ρ = 8.393 Mg/m³
Total DFT energy (no corrections) = -4.8626 eV per atom
Total moment = 0.00 μB/cell



Compound: Ca2PRu
Source: Alexandria
Functional: GGA-PBE
Structure: relaxed

abc: 6.641 6.641 6.641
angles: 90.00 90.00 90.00
Space group F-43m (No. 216)
Symmetry-distinct sites (fractional):
Ca1 0.000 0.000 0.000 [4 per cell]
Ca2 0.250 0.250 0.250 [4 per cell]
P1 0.250 0.250 0.750 [4 per cell]
Ru1 0.000 0.000 0.500 [4 per cell]

Computed properties:
Calculated volume = 18.303 Å³/atom
ρ = 4.813 Mg/m³
Total DFT energy (no corrections) = -4.7433 eV per atom
Total moment = 0.00 μB/cell



Compound: Mg3TlAs
Source: Alexandria
Functional: GGA-PBE
Structure: relaxed

abc: 5.092 5.092 5.092
angles: 90.00 90.00 90.00
Space group Pm-3m (No. 221)
Symmetry-distinct sites (fractional):
Mg1 0.000 0.000 0.500 [3 per cell]
Tl1 0.500 0.500 0.500 [1 per cell]
As1 0.000 0.000 0.000 [1 per cell]

Computed properties:
Calculated volume = 26.399 Å³/atom
ρ = 4.431 Mg/m³
Total DFT energy (no corrections) = -2.3912 eV per atom
Total moment = 0.00 μB/cell